[1]
# CaFeHg2 PBE relaxed
data_CaFeHg2
_chemical_formula_sum 'Ca1 Fe1 Hg2'
_symmetry_space_group_name_H-M 'P 1'
_symmetry_Int_Tables_number 1
_cell_length_a 3.4423
_cell_length_b 3.5170
_cell_length_c 7.1038
_cell_angle_alpha 90.00
_cell_angle_beta 90.00
_cell_angle_gamma 90.00
loop_
_symmetry_equiv_pos_as_xyz
'x,y,z'
loop_
_atom_site_label
_atom_site_type_symbol
_atom_site_fract_x
_atom_site_fract_y
_atom_site_fract_z
Ca1 Ca 0.0000 0.0000 0.0000
Fe1 Fe 0.0000 0.0000 0.5000
Hg1 Hg 0.5000 0.5000 0.2881
Hg2 Hg 0.5000 0.5000 0.7119
# **D(E_F)**: 4.14 states/eV/cell
# **M_tot**: 2.728 μB/f.u.
# **E_tot**: -2.72 eV per atom
# **Space-group type**: Pmmm (47)
# **Crystal system**: orthorhombic
# **Calculated volume**: 86.0 Å³/f.u.

***

[2]
# Ca4FeHg PBE relaxed
data_Ca4FeHg
_chemical_formula_sum 'Ca4 Fe1 Hg1'
_symmetry_space_group_name_H-M 'P 1'
_symmetry_Int_Tables_number 1
_cell_length_a 6.5273
_cell_length_b 6.5273
_cell_length_c 6.5273
_cell_angle_alpha 60.00
_cell_angle_beta 60.00
_cell_angle_gamma 60.00
loop_
_symmetry_equiv_pos_as_xyz
'x,y,z'
loop_
_atom_site_label
_atom_site_type_symbol
_atom_site_fract_x
_atom_site_fract_y
_atom_site_fract_z
Ca1 Ca 0.1244 0.1244 0.1244
Ca2 Ca 0.1244 0.1244 0.6269
Ca3 Ca 0.1244 0.6269 0.1244
Ca4 Ca 0.6269 0.1244 0.1244
Fe1 Fe 0.7500 0.7500 0.7500
Hg1 Hg 0.5000 0.5000 0.5000
# **D(E_F)**: 10.14 states/eV/cell
# **M_tot**: 2.502 μB/f.u.
# **E_tot**: -2.10 eV per atom
# **Space-group type**: F-43m (216)
# **Crystal system**: cubic
# **Calculated volume**: 196.6 Å³/f.u.

***

[3]
# CaFeHg2 PBE relaxed
data_CaFeHg2
_chemical_formula_sum 'Ca1 Fe1 Hg2'
_symmetry_space_group_name_H-M 'P 1'
_symmetry_Int_Tables_number 1
_cell_length_a 3.6321
_cell_length_b 3.6321
_cell_length_c 6.8076
_cell_angle_alpha 90.00
_cell_angle_beta 90.00
_cell_angle_gamma 90.00
loop_
_symmetry_equiv_pos_as_xyz
'x,y,z'
loop_
_atom_site_label
_atom_site_type_symbol
_atom_site_fract_x
_atom_site_fract_y
_atom_site_fract_z
Ca1 Ca 0.0000 0.0000 0.0000
Fe1 Fe 0.5000 0.5000 0.2875
Hg1 Hg 0.0000 0.0000 0.4529
Hg2 Hg 0.5000 0.5000 0.7243
# **D(E_F)**: 3.73 states/eV/cell
# **M_tot**: 2.633 μB/f.u.
# **E_tot**: -2.62 eV per atom
# **Space-group type**: P4mm (99)
# **Crystal system**: tetragonal
# **Calculated volume**: 89.8 Å³/f.u.

***

Which value of E_tot does entry 3 give? -2.62 eV per atom

***

Repeat the first record exactly.
# CaFeHg2 PBE relaxed
data_CaFeHg2
_chemical_formula_sum 'Ca1 Fe1 Hg2'
_symmetry_space_group_name_H-M 'P 1'
_symmetry_Int_Tables_number 1
_cell_length_a 3.4423
_cell_length_b 3.5170
_cell_length_c 7.1038
_cell_angle_alpha 90.00
_cell_angle_beta 90.00
_cell_angle_gamma 90.00
loop_
_symmetry_equiv_pos_as_xyz
'x,y,z'
loop_
_atom_site_label
_atom_site_type_symbol
_atom_site_fract_x
_atom_site_fract_y
_atom_site_fract_z
Ca1 Ca 0.0000 0.0000 0.0000
Fe1 Fe 0.0000 0.0000 0.5000
Hg1 Hg 0.5000 0.5000 0.2881
Hg2 Hg 0.5000 0.5000 0.7119
# **D(E_F)**: 4.14 states/eV/cell
# **M_tot**: 2.728 μB/f.u.
# **E_tot**: -2.72 eV per atom
# **Space-group type**: Pmmm (47)
# **Crystal system**: orthorhombic
# **Calculated volume**: 86.0 Å³/f.u.

***

What did the second record say?
# Ca4FeHg PBE relaxed
data_Ca4FeHg
_chemical_formula_sum 'Ca4 Fe1 Hg1'
_symmetry_space_group_name_H-M 'P 1'
_symmetry_Int_Tables_number 1
_cell_length_a 6.5273
_cell_length_b 6.5273
_cell_length_c 6.5273
_cell_angle_alpha 60.00
_cell_angle_beta 60.00
_cell_angle_gamma 60.00
loop_
_symmetry_equiv_pos_as_xyz
'x,y,z'
loop_
_atom_site_label
_atom_site_type_symbol
_atom_site_fract_x
_atom_site_fract_y
_atom_site_fract_z
Ca1 Ca 0.1244 0.1244 0.1244
Ca2 Ca 0.1244 0.1244 0.6269
Ca3 Ca 0.1244 0.6269 0.1244
Ca4 Ca 0.6269 0.1244 0.1244
Fe1 Fe 0.7500 0.7500 0.7500
Hg1 Hg 0.5000 0.5000 0.5000
# **D(E_F)**: 10.14 states/eV/cell
# **M_tot**: 2.502 μB/f.u.
# **E_tot**: -2.10 eV per atom
# **Space-group type**: F-43m (216)
# **Crystal system**: cubic
# **Calculated volume**: 196.6 Å³/f.u.

***

Among the records above, which one has the highest E_tot? Ca4FeHg